No. 1
First-principles (GGA-PBE) data for a relaxed structure of LiB12PC, as listed in Alexandria via LeMat-Bulk.

Unit cell a=7.1273 b=7.1273 c=7.1273 alpha=132.21 beta=110.35 gamma=88.87
Sites, in units of the cell vectors:
B1 0.4102 0.5900 0.3201
B2 0.8663 0.8326 0.5337
B3 0.6897 0.6668 0.5229
B4 0.1056 0.0968 0.8251
B5 0.2718 0.5968 0.4913
B6 0.4577 0.6628 0.7795
B7 0.5294 0.3252 0.1906
B8 0.9019 0.2232 0.5034
B9 0.1439 0.1668 0.4771
P1 0.6990 0.3290 0.8700
B10 0.4577 0.1783 0.2949
B11 0.5714 0.4119 0.6595
B12 0.2699 0.0900 0.6799
B13 0.2990 0.3326 0.4663
B14 0.7198 0.3984 0.4966
C1 0.5181 0.1457 0.8724
B15 0.7198 0.7232 0.8213
B16 0.1347 0.8252 0.2958
B17 0.1056 0.7805 0.5087
B18 0.8834 0.1628 0.7051
C2 0.2732 0.6457 0.1276
B19 0.5294 0.8389 0.7042
B20 0.8834 0.6783 0.2205
B21 0.9019 0.8984 0.1787
Li1 0.9285 0.2427 0.1858
P2 0.4590 0.8290 0.1300
B22 0.2718 0.2805 0.1749
B23 0.1347 0.3389 0.8094
Li2 0.0568 0.7427 0.8142
B24 0.7524 0.9119 0.3405

Results
E_tot   -6.719 eV/atom
Energy of formation   -274 meV/atom
Density of states at the Fermi level   0.00 states/eV per cell
Calculated density   2.49 g/cm3

---

No. 2
First-principles (GGA-PBE) data for a relaxed structure of Li2TaBC, as listed in Alexandria via LeMat-Bulk.

Unit cell a=5.3272 b=4.0058 c=5.3272 alpha=90.00 beta=90.00 gamma=90.00
Sites, in units of the cell vectors:
B1 0.5000 0.5000 0.5000
Li1 0.0000 0.0000 0.5000
Li2 0.5000 0.0000 0.0000
C1 0.0000 0.5000 0.0000
Ta1 0.0000 0.0000 0.0000

Results
E_tot   -4.261 eV/atom
Energy of formation   2055 meV/atom
Density of states at the Fermi level   2.17 states/eV per cell
Calculated density   3.18 g/cm3

---

No. 3
First-principles (GGA-PBE) data for a relaxed structure of LiTcB2C, as listed in Alexandria via LeMat-Bulk.

Unit cell a=3.3456 b=4.0633 c=3.3456 alpha=90.00 beta=90.00 gamma=90.00
Sites, in units of the cell vectors:
C1 0.0000 0.0000 0.0000
Tc1 0.0000 0.5000 0.0000
Li1 0.5000 0.5000 0.5000
B1 0.5000 0.0000 0.0000
B2 0.0000 0.0000 0.5000

Results
E_tot   -5.861 eV/atom
Energy of formation   1111 meV/atom
Density of states at the Fermi level   2.71 states/eV per cell
Calculated density   5.06 g/cm3
Energy relative to the lowest polymorph listed for this composition   0.000 eV per atom

---

No. 4
First-principles (GGA-PBE) data for a relaxed structure of LiTcB2C, as listed in Alexandria via LeMat-Bulk.

Unit cell a=3.7257 b=3.2917 c=3.7257 alpha=90.00 beta=90.00 gamma=90.00
Sites, in units of the cell vectors:
Tc1 0.5000 0.5000 0.5000
C1 0.0000 0.5000 0.0000
B1 0.5000 0.0000 0.0000
B2 0.0000 0.0000 0.5000
Li1 0.0000 0.0000 0.0000

Results
E_tot   -4.922 eV/atom
Energy of formation   2050 meV/atom
Density of states at the Fermi level   3.23 states/eV per cell
Calculated density   5.04 g/cm3
Energy relative to the lowest polymorph listed for this composition   0.939 eV per atom

---

No. 5
First-principles (GGA-PBE) data for a relaxed structure of LiZr2BC, as listed in Alexandria via LeMat-Bulk.

Unit cell a=4.8282 b=3.0118 c=4.8282 alpha=90.00 beta=90.00 gamma=90.00
Sites, in units of the cell vectors:
Zr1 0.5000 0.0000 0.0000
Li1 0.5000 0.5000 0.5000
B1 0.0000 0.0000 0.0000
Zr2 0.0000 0.0000 0.5000
C1 0.0000 0.5000 0.0000

Results
E_tot   -6.680 eV/atom
Energy of formation   303 meV/atom
Density of states at the Fermi level   2.06 states/eV per cell
Calculated density   5.02 g/cm3

---

No. 6
First-principles (GGA-PBE) data for a relaxed structure of LuB2C2, as listed in Alexandria via LeMat-Bulk.

Unit cell a=3.7737 b=3.7737 c=6.9645 alpha=90.00 beta=90.00 gamma=90.00
Sites, in units of the cell vectors:
B1 0.5000 0.2148 0.5000
C1 0.5000 0.8120 0.0000
B2 0.5000 0.7852 0.5000
Lu1 0.0000 0.0000 0.7500
B3 0.7852 0.5000 0.0000
C2 0.5000 0.1880 0.0000
C3 0.8120 0.5000 0.5000
Lu2 0.0000 0.0000 0.2500
B4 0.2148 0.5000 0.0000
C4 0.1880 0.5000 0.5000

Results
E_tot   -7.541 eV/atom
Energy of formation   -276 meV/atom
Density of states at the Fermi level   0.60 states/eV per cell
Calculated density   7.39 g/cm3

---

No. 7
First-principles (GGA-PBE) data for a relaxed structure of LuBC, as listed in Alexandria via LeMat-Bulk.

Unit cell a=2.9853 b=2.9853 c=7.7780 alpha=90.00 beta=90.00 gamma=120.00
Sites, in units of the cell vectors:
B1 0.3333 0.6667 0.7500
C1 0.6667 0.3333 0.7500
Lu1 0.0000 0.0000 0.0000
B2 0.6667 0.3333 0.2500
C2 0.3333 0.6667 0.2500
Lu2 0.0000 0.0000 0.5000

Results
E_tot   -7.208 eV/atom
Energy of formation   -400 meV/atom
Density of states at the Fermi level   0.92 states/eV per cell
Calculated density   10.94 g/cm3
Energy relative to the lowest polymorph listed for this composition   0.004 eV per atom

---

No. 8
First-principles (GGA-PBE) data for a relaxed structure of Lu4B3C4, as listed in Alexandria via LeMat-Bulk.

Unit cell a=3.4176 b=3.4990 c=11.7481 alpha=92.30 beta=96.38 gamma=90.12
Sites, in units of the cell vectors:
B1 0.2632 0.5054 0.5401
C1 0.8929 0.0522 0.8770
B2 0.7368 0.4946 0.4599
B3 0.0000 0.0000 0.0000
C2 0.6861 0.4768 0.3310
C3 0.1071 0.9478 0.1230
Lu1 0.1929 0.9796 0.3488
Lu2 0.6101 0.4556 0.1411
Lu3 0.3899 0.5444 0.8589
Lu4 0.8071 0.0204 0.6512
C4 0.3139 0.5232 0.6690

Results
E_tot   -7.346 eV/atom
Energy of formation   -527 meV/atom
Density of states at the Fermi level   2.15 states/eV per cell
Calculated density   9.29 g/cm3

---

no.,magnetization (μB/cell)
1,0.00
2,1.16
3,0.00
4,0.00
5,0.00
6,0.01
7,0.00
8,0.00